Entry from Alexandria: a relaxed KTe2H crystal (PBE-GGA).

a b c (Å): 8.4197 8.4197 8.4197
angles (deg): 139.27 139.27 58.96
With the nearest neighbours (Å) after each atom.
Element x y z (fractional)
K 0.0000 0.0000 0.0000  4 Te 3.51
K 0.7500 0.2500 0.5000  4 Te 3.51
Te 0.3209 0.1250 0.6959  2 H 2.37
Te 0.3750 0.6791 0.8041  2 H 2.37
Te 0.4291 0.6250 0.3041  2 H 2.37
Te 0.8750 0.5709 0.1959  2 H 2.37
H 0.2500 0.7500 0.5000  4 Te 2.37
H 0.5000 0.5000 0.0000  4 Te 2.37

M_tot ... 0.0 μB per formula unit
Raw total energy ... -2.76 eV per atom
Space group ... No. 122
Density of states at the Fermi level ... 5.81 states/eV per cell

Entry from Alexandria: a relaxed KTe3H crystal (PBE-GGA).

a b c (Å): 5.0133 5.0133 5.0133
angles (deg): 90.00 90.00 90.00
With the nearest neighbours (Å) after each atom.
Element x y z (fractional)
K 0.0000 0.0000 0.0000  12 Te 3.54
Te 0.0000 0.5000 0.5000  2 H 2.51
Te 0.5000 0.0000 0.5000  2 H 2.51
Te 0.5000 0.5000 0.0000  2 H 2.51
H 0.5000 0.5000 0.5000  6 Te 2.51

M_tot ... 0.0 μB per formula unit
Raw total energy ... -2.63 eV per atom
Space group ... No. 221
Density of states at the Fermi level ... 3.46 states/eV per cell

Entry from Alexandria: a relaxed KTe2H crystal (PBE-GGA).

a b c (Å): 9.4917 9.4917 9.4917
angles (deg): 23.13 23.13 23.13
With the nearest neighbours (Å) after each atom.
Element x y z (fractional)
K 0.0000 0.0000 0.0000  6 Te 3.46, 6 K 3.81
Te 0.4296 0.4296 0.4296  1 H 1.95
Te 0.5704 0.5704 0.5704  1 H 1.95
H 0.5000 0.5000 0.5000  2 Te 1.95

M_tot ... 0.0 μB per formula unit
Raw total energy ... -2.65 eV per atom
Space group ... No. 166
Density of states at the Fermi level ... 2.63 states/eV per cell

Entry from Alexandria: a relaxed KTeH2 crystal (PBE-GGA).

a b c (Å): 4.8038 5.3525 8.5855
angles (deg): 89.22 78.82 89.74
With the nearest neighbours (Å) after each atom.
Element x y z (fractional)
K 0.0862 0.2471 0.2007  4 H 2.84-3.16
K 0.9138 0.7529 0.7993  4 H 2.84-3.16
Te 0.4193 0.2499 0.7714  1 H 1.69
Te 0.5807 0.7501 0.2286  1 H 1.69
H 0.0646 0.5353 0.4775  1 H 0.76
H 0.4274 0.7634 0.0677  1 Te 1.69
H 0.5726 0.2366 0.9323  1 Te 1.69
H 0.9354 0.4647 0.5225  1 H 0.76

M_tot ... 0.0 μB per formula unit
Raw total energy ... -3.11 eV per atom
Space group ... No. 2
Density of states at the Fermi level ... 0.00 states/eV per cell

Entry from Alexandria: a relaxed K3TeH2 crystal (PBE-GGA).

a b c (Å): 12.9567 12.9567 5.2834
angles (deg): 90.28 90.28 23.39
With the nearest neighbours (Å) after each atom.
Element x y z (fractional)
K 0.0690 0.0690 0.2519  3 H 2.73-2.80
K 0.2008 0.2008 0.7529  2 H 2.75
K 0.4277 0.4277 0.2474  1 H 2.44
K 0.5723 0.5723 0.7526  1 H 2.44
K 0.7992 0.7992 0.2471  2 H 2.75
K 0.9310 0.9310 0.7481  3 H 2.73-2.80
Te 0.3388 0.3388 0.7448  2 H 2.64-2.65
Te 0.6612 0.6612 0.2552  2 H 2.64-2.65
H 0.0415 0.0415 0.7513  5 K 2.73-2.80
H 0.3314 0.3314 0.2433  1 K 2.44, 2 Te 2.64-2.65
H 0.6686 0.6686 0.7567  1 K 2.44, 2 Te 2.64-2.65
H 0.9585 0.9585 0.2487  5 K 2.73-2.80

M_tot ... 0.0 μB per formula unit
Raw total energy ... -2.50 eV per atom
Space group ... No. 12
Density of states at the Fermi level ... 2.72 states/eV per cell

Entry from Alexandria: a relaxed KTe3H crystal (PBE-GGA).

a b c (Å): 6.1945 6.1945 6.1945
angles (deg): 90.00 90.00 90.00
With the nearest neighbours (Å) after each atom.
Element x y z (fractional)
K 0.0000 0.0000 0.0000  6 Te 3.10
Te 0.0000 0.0000 0.5000  2 K 3.10
Te 0.0000 0.5000 0.0000  2 K 3.10
Te 0.5000 0.0000 0.0000  2 K 3.10
H 0.5000 0.5000 0.5000  12 Te 4.38

M_tot ... 0.2 μB per formula unit
Raw total energy ... -1.60 eV per atom
Space group ... No. 221
Density of states at the Fermi level ... 6.35 states/eV per cell

Entry from Alexandria: a relaxed K2TeH8 crystal (PBE-GGA).

a b c (Å): 6.8798 6.8798 3.5727
angles (deg): 90.00 90.00 90.00
With the nearest neighbours (Å) after each atom.
Element x y z (fractional)
K 0.0000 0.5000 0.0000  8 H 2.94
K 0.5000 0.0000 0.0000  8 H 2.94
Te 0.0000 0.0000 0.5000  8 H 3.33, 2 Te 3.57
H 0.3398 0.3398 0.3929  1 H 0.77
H 0.3398 0.3398 0.6071  1 H 0.77
H 0.3398 0.6602 0.3929  1 H 0.77
H 0.3398 0.6602 0.6071  1 H 0.77
H 0.6602 0.3398 0.3929  1 H 0.77
H 0.6602 0.3398 0.6071  1 H 0.77
H 0.6602 0.6602 0.3929  1 H 0.77
H 0.6602 0.6602 0.6071  1 H 0.77

M_tot ... 0.2 μB per formula unit
Raw total energy ... -3.01 eV per atom
Space group ... No. 123
Density of states at the Fermi level ... 1.53 states/eV per cell

Entry from Alexandria: a relaxed KTeH3 crystal (PBE-GGA).

a b c (Å): 4.3949 4.3949 4.3949
angles (deg): 90.00 90.00 90.00
With the nearest neighbours (Å) after each atom.
Element x y z (fractional)
K 0.0000 0.0000 0.0000  12 H 3.11
Te 0.5000 0.5000 0.5000  6 H 2.20
H 0.0000 0.5000 0.5000  2 Te 2.20
H 0.5000 0.0000 0.5000  2 Te 2.20
H 0.5000 0.5000 0.0000  2 Te 2.20

M_tot ... 0.0 μB per formula unit
Raw total energy ... -2.65 eV per atom
Space group ... No. 221
Density of states at the Fermi level ... 0.74 states/eV per cell

Entry from Alexandria: a relaxed KTeH2 crystal (PBE-GGA).

a b c (Å): 4.6063 4.6063 4.6063
angles (deg): 60.00 60.00 60.00
With the nearest neighbours (Å) after each atom.
Element x y z (fractional)
K 0.0000 0.0000 0.0000  8 H 2.82
Te 0.5000 0.5000 0.5000  8 H 2.82
H 0.2500 0.2500 0.2500  4 Te 2.82, 4 K 2.82
H 0.7500 0.7500 0.7500  4 Te 2.82, 4 K 2.82

M_tot ... 0.0 μB per formula unit
Raw total energy ... -2.33 eV per atom
Space group ... No. 225
Density of states at the Fermi level ... 1.41 states/eV per cell

Entry from Alexandria: a relaxed KTeH crystal (PBE-GGA).

a b c (Å): 5.1349 5.1491 7.1903
angles (deg): 75.75 75.58 87.56
With the nearest neighbours (Å) after each atom.
Element x y z (fractional)
K 0.0000 0.0000 0.0000  3 H 2.90-3.14
K 0.4179 0.4296 0.4867  3 H 2.91-3.13
Te 0.5522 0.5544 0.9197  1 H 2.63, 1 Te 2.81
Te 0.8647 0.8766 0.5669  1 H 2.63, 1 Te 2.81
H 0.3130 0.0263 0.2927  1 H 0.77
H 0.4002 0.1108 0.1945  1 H 0.77

M_tot ... 0.0 μB per formula unit
Raw total energy ... -3.05 eV per atom
Space group ... No. 1

Entry from Alexandria: a relaxed K2TeH crystal (PBE-GGA).

a b c (Å): 5.3694 5.3691 9.0126
angles (deg): 90.00 90.12 90.00
With the nearest neighbours (Å) after each atom.
Element x y z (fractional)
K 0.2480 0.2500 0.1558  1 H 3.11
K 0.2499 0.7500 0.5000  4 H 2.68-2.69
K 0.7501 0.2500 0.5000  4 H 2.68-2.69
K 0.7520 0.7500 0.8442  1 H 3.11
Te 0.2516 0.2500 0.7591  1 H 2.33
Te 0.7484 0.7500 0.2409  1 H 2.33
H 0.2498 0.2500 0.5011  1 Te 2.33
H 0.7502 0.7500 0.4989  1 Te 2.33

M_tot ... 1.0 μB per formula unit
Raw total energy ... -2.58 eV per atom
Space group ... No. 11
Density of states at the Fermi level ... 0.63 states/eV per cell

Entry from Alexandria: a relaxed KTeH crystal (PBE-GGA).

a b c (Å): 5.4874 5.4874 5.4874
angles (deg): 125.21 125.21 81.19
With the nearest neighbours (Å) after each atom.
Element x y z (fractional)
K 0.0000 0.0000 0.0000  1 H 2.89
Te 0.4521 0.4521 0.0000  1 H 1.68
H 0.6534 0.6534 0.0000  1 Te 1.68

M_tot ... 0.0 μB per formula unit
Raw total energy ... -3.00 eV per atom
Space group ... No. 107
Density of states at the Fermi level ... 0.00 states/eV per cell